(1)
This record from Alexandria via LeMat-Bulk describes an optimized crystal structure of Zr2CoNi. The functional is PBE.

- formation energy (meV per atom) = -399
- symmetry = Pm (6)
- total magnetic moment (μB per cell) = 0.000

Geometry as CIF:
```
data_Zr2CoNi
_chemical_formula_sum 'Zr2 Co1 Ni1'
_cell_length_a 3.307
_cell_length_b 4.068
_cell_length_c 5.214
_cell_angle_alpha 90.00
_cell_angle_beta 108.40
_cell_angle_gamma 90.00
_symmetry_space_group_name_H-M 'P 1'
_symmetry_Int_Tables_number 1
_symmetry_space_group_name_Hall 'P 1'
loop_
_atom_site_label
_atom_site_fract_x
_atom_site_fract_y
_atom_site_fract_z
Zr1 0.000 0.000 0.000
Zr2 0.280 0.500 0.561
Co1 0.727 0.000 0.455
Ni1 0.558 0.500 0.117
```

---

(2)
This record from Alexandria via LeMat-Bulk describes an optimized crystal structure of ZrCoNi. The functional is PBE.

- formation energy (meV per atom) = 96
- symmetry = Fmmm (69)
- total magnetic moment (μB per cell) = 0.000

Geometry as CIF:
```
data_ZrCoNi
_chemical_formula_sum 'Zr2 Co2 Ni2'
_cell_length_a 5.453
_cell_length_b 5.180
_cell_length_c 4.881
_cell_angle_alpha 65.56
_cell_angle_beta 59.86
_cell_angle_gamma 54.58
_symmetry_space_group_name_H-M 'P 1'
_symmetry_Int_Tables_number 1
_symmetry_space_group_name_Hall 'P 1'
loop_
_atom_site_label
_atom_site_fract_x
_atom_site_fract_y
_atom_site_fract_z
Zr1 0.238 0.238 0.762
Zr2 0.762 0.762 0.238
Co1 0.273 0.727 0.727
Co2 0.727 0.273 0.273
Ni1 0.242 0.758 0.242
Ni2 0.758 0.242 0.758
```

---

(3)
This record from Alexandria via LeMat-Bulk describes an optimized crystal structure of ZrCoNi. The functional is PBE.

- formation energy (meV per atom) = -161
- symmetry = I4mm (107)
- total magnetic moment (μB per cell) = 1.087

Geometry as CIF:
```
data_ZrCoNi
_chemical_formula_sum 'Zr1 Co1 Ni1'
_cell_length_a 4.782
_cell_length_b 4.782
_cell_length_c 4.782
_cell_angle_alpha 140.49
_cell_angle_beta 140.49
_cell_angle_gamma 57.11
_symmetry_space_group_name_H-M 'P 1'
_symmetry_Int_Tables_number 1
_symmetry_space_group_name_Hall 'P 1'
loop_
_atom_site_label
_atom_site_fract_x
_atom_site_fract_y
_atom_site_fract_z
Zr1 0.000 0.000 0.000
Co1 0.669 0.669 0.000
Ni1 0.327 0.327 0.000
```

---

(4)
This record from Alexandria via LeMat-Bulk describes an optimized crystal structure of Zr2CoNi. The functional is PBE.

- formation energy (meV per atom) = -80
- symmetry = R-3m (166)
- total magnetic moment (μB per cell) = 0.000

Geometry as CIF:
```
data_Zr2CoNi
_chemical_formula_sum 'Zr2 Co1 Ni1'
_cell_length_a 7.015
_cell_length_b 7.015
_cell_length_c 7.015
_cell_angle_alpha 28.71
_cell_angle_beta 28.71
_cell_angle_gamma 28.71
_symmetry_space_group_name_H-M 'P 1'
_symmetry_Int_Tables_number 1
_symmetry_space_group_name_Hall 'P 1'
loop_
_atom_site_label
_atom_site_fract_x
_atom_site_fract_y
_atom_site_fract_z
Zr1 0.247 0.247 0.247
Zr2 0.753 0.753 0.753
Co1 0.500 0.500 0.500
Ni1 0.000 0.000 0.000
```

---

(5)
This record from Alexandria via LeMat-Bulk describes an optimized crystal structure of Zr4Co3Ni. The functional is PBE.

- formation energy (meV per atom) = -364
- symmetry = Pmm2 (25)
- total magnetic moment (μB per cell) = 0.000

Geometry as CIF:
```
data_Zr4Co3Ni
_chemical_formula_sum 'Zr4 Co3 Ni1'
_cell_length_a 3.312
_cell_length_b 4.102
_cell_length_c 9.737
_cell_angle_alpha 90.00
_cell_angle_beta 90.00
_cell_angle_gamma 90.00
_symmetry_space_group_name_H-M 'P 1'
_symmetry_Int_Tables_number 1
_symmetry_space_group_name_Hall 'P 1'
loop_
_atom_site_label
_atom_site_fract_x
_atom_site_fract_y
_atom_site_fract_z
Zr1 0.000 0.000 0.000
Zr2 0.000 0.500 0.276
Zr3 0.500 0.000 0.492
Zr4 0.500 0.500 0.778
Co1 0.000 0.500 0.554
Co2 0.500 0.000 0.220
Co3 0.500 0.500 0.049
Ni1 0.000 0.000 0.718
```

---

(6)
This record from Alexandria via LeMat-Bulk describes an optimized crystal structure of Zr6CoNi. The functional is PBE.

- formation energy (meV per atom) = -172
- symmetry = I4/mmm (139)
- total magnetic moment (μB per cell) = 0.000

Geometry as CIF:
```
data_Zr6CoNi
_chemical_formula_sum 'Zr6 Co1 Ni1'
_cell_length_a 8.136
_cell_length_b 8.136
_cell_length_c 8.136
_cell_angle_alpha 147.22
_cell_angle_beta 147.22
_cell_angle_gamma 47.04
_symmetry_space_group_name_H-M 'P 1'
_symmetry_Int_Tables_number 1
_symmetry_space_group_name_Hall 'P 1'
loop_
_atom_site_label
_atom_site_fract_x
_atom_site_fract_y
_atom_site_fract_z
Zr1 0.106 0.606 0.500
Zr2 0.250 0.250 0.000
Zr3 0.394 0.894 0.500
Zr4 0.606 0.106 0.500
Zr5 0.750 0.750 0.000
Zr6 0.894 0.394 0.500
Co1 0.000 0.000 0.000
Ni1 0.500 0.500 0.000
```

---

(7)
This record from Alexandria via LeMat-Bulk describes an optimized crystal structure of Zr3Co3Ni. The functional is PBE.

- formation energy (meV per atom) = -156
- symmetry = C2/m (12)
- total magnetic moment (μB per cell) = 0.000

Geometry as CIF:
```
data_Zr3Co3Ni
_chemical_formula_sum 'Zr6 Co6 Ni2'
_cell_length_a 6.306
_cell_length_b 6.306
_cell_length_c 5.592
_cell_angle_alpha 94.90
_cell_angle_beta 94.90
_cell_angle_gamma 89.21
_symmetry_space_group_name_H-M 'P 1'
_symmetry_Int_Tables_number 1
_symmetry_space_group_name_Hall 'P 1'
loop_
_atom_site_label
_atom_site_fract_x
_atom_site_fract_y
_atom_site_fract_z
Zr1 0.049 0.413 0.756
Zr2 0.100 0.100 0.259
Zr3 0.413 0.049 0.756
Zr4 0.587 0.951 0.244
Zr5 0.900 0.900 0.741
Zr6 0.951 0.587 0.244
Co1 0.251 0.749 0.000
Co2 0.257 0.743 0.500
Co3 0.372 0.372 0.528
Co4 0.628 0.628 0.472
Co5 0.743 0.257 0.500
Co6 0.749 0.251 0.000
Ni1 0.394 0.394 0.117
Ni2 0.606 0.606 0.883
```

---

(8)
This record from Alexandria via LeMat-Bulk describes an optimized crystal structure of Zr8Co2Ni. The functional is PBE.

- formation energy (meV per atom) = -157
- symmetry = C2/m (12)
- total magnetic moment (μB per cell) = 0.000

Geometry as CIF:
```
data_Zr8Co2Ni
_chemical_formula_sum 'Zr8 Co2 Ni1'
_cell_length_a 8.637
_cell_length_b 8.637
_cell_length_c 5.985
_cell_angle_alpha 109.55
_cell_angle_beta 109.55
_cell_angle_gamma 31.28
_symmetry_space_group_name_H-M 'P 1'
_symmetry_Int_Tables_number 1
_symmetry_space_group_name_Hall 'P 1'
loop_
_atom_site_label
_atom_site_fract_x
_atom_site_fract_y
_atom_site_fract_z
Zr1 0.029 0.029 0.277
Zr2 0.201 0.201 0.844
Zr3 0.325 0.325 0.491
Zr4 0.409 0.409 0.030
Zr5 0.591 0.591 0.970
Zr6 0.675 0.675 0.509
Zr7 0.799 0.799 0.156
Zr8 0.971 0.971 0.723
Co1 0.169 0.169 0.238
Co2 0.831 0.831 0.762
Ni1 0.500 0.500 0.500
```

---

Number 2 is which compound? ZrCoNi